TlCoSbF6 | PBE with a Hubbard U | optimized geometry

Cell lengths 5.810, 5.813, 5.571 Å; angles 89.56, 89.96, 60.73 degrees
Last column: magnetic moment on the atom in μB.
Atoms (fractional coordinates):
1 F 0.023 0.410 0.304  0.02
2 F 0.563 0.030 0.304  0.02
3 Tl 0.000 0.998 0.021  0.00
4 F 0.946 0.707 0.674  0.03
5 F 0.355 0.939 0.680  0.03
6 F 0.407 0.569 0.304  0.02
7 Sb 0.332 0.333 0.544  0.00
8 F 0.705 0.347 0.675  0.03
9 Co 0.667 0.667 0.494  2.78

Theoretical density ... 5.05 Mg/m³
SG ... No. 1
E ... -4.679 eV/atom